Record 1
An optimized crystal structure of BeAlSn, computed with PBE.

Results
For the total energy, the calculation gives -3.682 eV/atom. Its symmetry is No. 164. The calculation puts the energy above the most stable polymorph in this dataset at 0.0 meV/atom.

Cell: 3.661 3.661 9.437 Å, 90.00 90.00 120.00°
Positions (direct):
1 Be 0.333 0.667 0.496
2 Be 0.667 0.333 0.504
3 Al 0.000 0.000 0.358
4 Al 0.000 0.000 0.642
5 Sn 0.333 0.667 0.131
6 Sn 0.667 0.333 0.869

---

Record 2
An optimized crystal structure of BeAl2Sn2, computed with PBE.

Results
For the total energy, the calculation gives -3.152 eV/atom. Its symmetry is No. 139. The calculation puts the energy above the most stable polymorph in this dataset at 365.1 meV/atom.

Cell: 6.597 6.597 6.597 Å, 138.77 138.77 59.72°
Positions (direct):
1 Be 0.000 0.000 0.000
2 Al 0.391 0.391 0.000
3 Al 0.609 0.609 0.000
4 Sn 0.250 0.750 0.500
5 Sn 0.750 0.250 0.500

---

Record 3
An optimized crystal structure of BeAlSn2, computed with PBE.

Results
For the total energy, the calculation gives -3.408 eV/atom. Its symmetry is No. 225. The calculation puts the energy above the most stable polymorph in this dataset at 112.9 meV/atom.

Cell: 4.889 4.889 4.889 Å, 60.00 60.00 60.00°
Positions (direct):
1 Be 0.000 0.000 0.000
2 Al 0.500 0.500 0.500
3 Sn 0.250 0.250 0.250
4 Sn 0.750 0.750 0.750

---

Record 4
An optimized crystal structure of BeAlSn3, computed with PBE.

Results
For the total energy, the calculation gives -2.975 eV/atom. Its symmetry is No. 221. The calculation puts the energy above the most stable polymorph in this dataset at 465.8 meV/atom.

Cell: 5.267 5.267 5.267 Å, 90.00 90.00 90.00°
Positions (direct):
1 Be 0.000 0.000 0.000
2 Al 0.500 0.500 0.500
3 Sn 0.000 0.500 0.500
4 Sn 0.500 0.000 0.500
5 Sn 0.500 0.500 0.000